This record from the Alexandria database describes MgBe2Mo at its PBEsol-relaxed geometry. The functional is meta-GGA SCAN.

The calculated formation energy comes out at 0.24 eV/atom. The value obtained for the total energy is -95.2 eV per cell.

The structure belongs to space group Amm2 (No. 38); the cell edges are 3.8071, 2.8058 and 9.3926 Å and the angles 90.00°, 90.00° and 90.00°. The distinct sites, in fractional coordinates, are Mg at (0.0000, 0.0000, 0.0000), Be at (0.0000, 0.0000, 0.7345), Be at (0.5000, 0.0000, 0.5985) and Mo at (0.5000, 0.0000, 0.3233).


This record from the Alexandria database describes Sc2AlCu at its PBEsol-relaxed geometry. The functional is meta-GGA SCAN.

The calculated formation energy comes out at -0.06 eV/atom. The value obtained for the total energy is -206.7 eV per cell.

The structure belongs to space group F-43m (No. 216); the cell edges are 6.5493, 6.5493 and 6.5493 Å and the angles 90.00°, 90.00° and 90.00°. The distinct sites, in fractional coordinates, are Sc at (0.0000, 0.0000, 0.0000), Sc at (0.2500, 0.2500, 0.2500), Al at (0.0000, 0.0000, 0.5000) and Cu at (0.2500, 0.2500, 0.7500).